Entry 1:
A crystal of NaCrOs3 relaxed with PBEsol, computed with SCAN.

Cell and atoms, written as extended XYZ:
```
5
Lattice="4.449 0.000 0.000 0.000 4.449 0.000 0.000 0.000 4.449" Properties=species:S:1:pos:R:3 pbc="T T T"
Na 0.000 0.000 0.000
Cr 2.224 2.224 2.224
Os 0.000 2.224 2.224
Os 2.224 0.000 2.224
Os 2.224 2.224 0.000
```

As for the calculated density: 12.18 g/cm3. The value obtained for the volume is 17.61 Å³/atom. The calculation puts the energy of formation at 1.62 eV per atom. For the density of states at the Fermi level, the calculation gives 1.017 states/eV/atom. Its crystal system is cubic.

***

Entry 2:
A crystal of NaCrP2S6 relaxed with PBEsol, computed with SCAN.

Cell and atoms, written as extended XYZ:
```
20
Lattice="0.000 5.485 10.302 4.047 0.000 10.302 4.047 5.485 0.000" Properties=species:S:1:pos:R:3 pbc="T T T"
Na 0.000 0.000 0.000
Na 2.024 2.743 5.151
Cr 4.047 5.485 6.932
Cr 6.071 8.228 12.083
P 4.952 4.838 3.601
P 3.143 6.133 3.601
P 2.928 3.390 8.752
P 5.167 7.580 8.752
S 5.831 5.378 5.361
S 4.124 3.083 7.148
S 5.792 5.658 8.571
S 3.807 2.850 10.512
S 5.994 5.826 12.299
S 3.768 2.570 13.722
S 2.264 5.593 5.361
S 3.971 7.887 7.148
S 2.303 5.312 8.571
S 4.288 8.121 10.512
S 2.100 5.145 12.299
S 4.327 8.401 13.722
```

As for the calculated density: 2.39 g/cm3. The value obtained for the volume is 22.87 Å³/atom. As for the energy above the most stable polymorph in this dataset: 0.000 eV/atom. The value obtained for the formation energy (no corrections) is -0.762 eV/atom. For the density of states at the Fermi level, the calculation gives 0.000 states/eV/atom. Its crystal system is orthorhombic.

***

Entry 3:
A crystal of NaCrP2S6 relaxed with PBEsol, computed with SCAN.

Cell and atoms, written as extended XYZ:
```
40
Lattice="7.232 0.000 0.000 0.000 5.865 0.000 -7.116 0.000 20.839" Properties=species:S:1:pos:R:3 pbc="T T T"
Na -0.261 0.283 4.702
Na -3.819 2.649 15.121
Na 3.935 3.216 5.718
Na 0.377 5.582 16.137
Cr -3.647 4.393 19.965
Cr -0.089 4.404 9.546
Cr 0.205 1.461 11.293
Cr 3.763 1.472 0.874
P -5.003 1.430 18.494
P -1.445 1.502 8.075
P 0.722 1.437 7.720
P -2.836 1.495 18.140
P 2.952 4.370 2.699
P -0.606 4.428 13.118
P 1.561 4.363 12.764
P 5.119 4.435 2.345
S -1.074 3.564 3.781
S -4.632 5.233 14.201
S -1.881 3.472 8.291
S -5.438 5.326 18.710
S -1.478 0.450 9.917
S -5.036 2.482 20.337
S -1.230 3.383 11.392
S 2.327 5.414 0.972
S -2.386 0.559 16.469
S 1.172 2.374 6.050
S -1.011 0.550 13.113
S 2.547 2.382 2.693
S -2.432 3.483 18.145
S 1.126 5.315 7.726
S -1.056 3.491 14.789
S 2.502 5.306 4.370
S -2.212 0.451 19.867
S 1.346 2.482 9.447
S 5.152 3.383 0.502
S 1.594 5.415 10.921
S 5.554 0.539 2.129
S 1.996 2.393 12.548
S 4.747 0.632 6.638
S 1.190 2.301 17.057
```

As for the calculated density: 2.47 g/cm3. The value obtained for the volume is 22.10 Å³/atom. As for the energy above the most stable polymorph in this dataset: 0.018 eV/atom. The value obtained for the formation energy (no corrections) is -0.745 eV/atom. For the density of states at the Fermi level, the calculation gives 0.000 states/eV/atom. Its crystal system is monoclinic.

***

Entry 4:
A crystal of NaScCr2P relaxed with PBEsol, computed with SCAN.

Cell and atoms, written as extended XYZ:
```
5
Lattice="4.637 0.000 0.000 0.000 4.637 0.000 0.000 0.000 4.769" Properties=species:S:1:pos:R:3 pbc="T T T"
Na 0.000 0.000 0.000
Sc 2.319 2.319 2.384
Cr 0.000 2.319 0.000
Cr 2.319 0.000 0.000
P 0.000 0.000 2.384
```

As for the calculated density: 3.29 g/cm3. The value obtained for the volume is 20.51 Å³/atom. The calculation puts the energy of formation at 1.00 eV per atom. For the density of states at the Fermi level, the calculation gives 0.597 states/eV/atom. Its crystal system is tetragonal.

***

Entry 5:
A crystal of NaCr2Pb2 relaxed with PBEsol, computed with SCAN.

Cell and atoms, written as extended XYZ:
```
5
Lattice="-1.655 1.655 9.363 1.655 -1.655 9.363 1.655 1.655 -9.363" Properties=species:S:1:pos:R:3 pbc="T T T"
Na 0.000 0.000 0.000
Cr 1.655 0.000 4.682
Cr 0.000 1.655 4.682
Pb 0.000 0.000 6.974
Pb 0.000 0.000 11.753
```

As for the calculated density: 8.76 g/cm3. The value obtained for the volume is 20.52 Å³/atom. The calculation puts the energy of formation at 0.33 eV per atom. For the density of states at the Fermi level, the calculation gives 0.529 states/eV/atom. Its crystal system is tetragonal.

***

Entry 6:
A crystal of RbNaCrPd2 relaxed with PBEsol, computed with SCAN.

Cell and atoms, written as extended XYZ:
```
5
Lattice="4.817 0.000 0.000 0.000 4.817 0.000 0.000 0.000 5.720" Properties=species:S:1:pos:R:3 pbc="T T T"
Rb 0.000 0.000 0.000
Na 2.409 2.409 0.000
Cr 0.000 0.000 2.860
Pd 0.000 2.409 2.860
Pd 2.409 0.000 2.860
```

As for the calculated density: 4.67 g/cm3. The value obtained for the volume is 26.55 Å³/atom. The calculation puts the energy of formation at 0.62 eV per atom. For the density of states at the Fermi level, the calculation gives 0.553 states/eV/atom. Its crystal system is tetragonal.

***

Entry 7:
A crystal of NaCrPt3 relaxed with PBEsol, computed with SCAN.

Cell and atoms, written as extended XYZ:
```
5
Lattice="4.577 0.000 0.000 0.000 4.577 0.000 0.000 0.000 4.577" Properties=species:S:1:pos:R:3 pbc="T T T"
Na 0.000 0.000 0.000
Cr 2.289 2.289 2.289
Pt 0.000 2.289 2.289
Pt 2.289 0.000 2.289
Pt 2.289 2.289 0.000
```

As for the calculated density: 11.43 g/cm3. The value obtained for the volume is 19.18 Å³/atom. The calculation puts the energy of formation at 0.54 eV per atom. For the density of states at the Fermi level, the calculation gives 0.747 states/eV/atom. Its crystal system is cubic.

***

Entry 8:
A crystal of Na3CrRe relaxed with PBEsol, computed with SCAN.

Cell and atoms, written as extended XYZ:
```
5
Lattice="5.440 0.000 0.000 0.000 5.440 0.000 0.000 0.000 5.440" Properties=species:S:1:pos:R:3 pbc="T T T"
Na 0.000 0.000 2.720
Na 0.000 2.720 0.000
Na 2.720 0.000 0.000
Cr 0.000 0.000 0.000
Re 2.720 2.720 2.720
```

As for the calculated density: 3.17 g/cm3. The value obtained for the volume is 32.19 Å³/atom. The calculation puts the energy of formation at 1.91 eV per atom. For the density of states at the Fermi level, the calculation gives 0.827 states/eV/atom. Its crystal system is cubic.

***

Entry 9:
A crystal of NaCr2ReW relaxed with PBEsol, computed with SCAN.

Cell and atoms, written as extended XYZ:
```
5
Lattice="4.127 0.000 0.000 0.000 4.127 0.000 0.000 0.000 4.598" Properties=species:S:1:pos:R:3 pbc="T T T"
Na 0.000 0.000 0.000
Cr 0.000 2.064 0.000
Cr 2.064 0.000 0.000
Re 0.000 0.000 2.299
W 2.064 2.064 2.299
```

As for the calculated density: 10.54 g/cm3. The value obtained for the volume is 15.66 Å³/atom. The calculation puts the energy of formation at 2.39 eV per atom. For the density of states at the Fermi level, the calculation gives 0.703 states/eV/atom. Its crystal system is tetragonal.

***

Entry 10:
A crystal of NaCrS2 relaxed with PBEsol, computed with SCAN.

Cell and atoms, written as extended XYZ:
```
4
Lattice="1.769 1.022 6.404 -1.769 1.022 6.404 0.000 -2.043 6.404" Properties=species:S:1:pos:R:3 pbc="T T T"
Na 0.000 0.000 0.000
Cr 0.000 0.000 9.606
S 0.000 0.000 4.462
S 0.000 0.000 14.749
```

As for the calculated density: 3.33 g/cm3. The value obtained for the volume is 17.36 Å³/atom. The value obtained for the formation energy (no corrections) is -1.316 eV/atom. For the density of states at the Fermi level, the calculation gives 0.000 states/eV/atom. Its crystal system is trigonal.

***

Entry 11:
A crystal of NaCr2S4 relaxed with PBEsol, computed with SCAN.

Cell and atoms, written as extended XYZ:
```
7
Lattice="7.072 -1.658 0.000 7.072 1.658 0.000 -1.594 0.000 5.296" Properties=species:S:1:pos:R:3 pbc="T T T"
Na 0.000 0.000 0.000
Cr 3.093 0.000 1.570
Cr 9.457 0.000 3.726
S 1.175 0.000 2.702
S 3.204 0.000 5.186
S 9.345 0.000 0.110
S 11.374 0.000 2.594
```

As for the calculated density: 3.41 g/cm3. The value obtained for the volume is 17.74 Å³/atom. The value obtained for the formation energy (no corrections) is -0.934 eV/atom. For the density of states at the Fermi level, the calculation gives 0.387 states/eV/atom. Its crystal system is monoclinic.

***

Entry 12:
A crystal of NaCrS2 relaxed with PBEsol, computed with SCAN.

Cell and atoms, written as extended XYZ:
```
4
Lattice="3.520 0.000 0.000 -1.760 3.049 0.000 0.000 0.000 6.513" Properties=species:S:1:pos:R:3 pbc="T T T"
Na 0.000 0.000 0.000
Cr 0.000 0.000 3.256
S 0.000 2.032 1.983
S 1.760 1.016 4.529
```

As for the calculated density: 3.31 g/cm3. The value obtained for the volume is 17.47 Å³/atom. The value obtained for the formation energy (no corrections) is -1.308 eV/atom. For the density of states at the Fermi level, the calculation gives 0.000 states/eV/atom. Its crystal system is trigonal.

***

Entry 13:
A crystal of Na3CrS relaxed with PBEsol, computed with SCAN.

Cell and atoms, written as extended XYZ:
```
5
Lattice="5.290 0.000 0.000 0.000 5.290 0.000 0.000 0.000 5.290" Properties=species:S:1:pos:R:3 pbc="T T T"
Na 0.000 0.000 2.645
Na 0.000 2.645 0.000
Na 2.645 0.000 0.000
Cr 2.645 2.645 2.645
S 0.000 0.000 0.000
```

As for the calculated density: 1.72 g/cm3. The value obtained for the volume is 29.61 Å³/atom. As for the energy above the most stable polymorph in this dataset: 0.000 eV/atom. The value obtained for the formation energy (no corrections) is -0.202 eV/atom. For the density of states at the Fermi level, the calculation gives 0.085 states/eV/atom. Its crystal system is cubic.

***

Entry 14:
A crystal of Na3CrS relaxed with PBEsol, computed with SCAN.

Cell and atoms, written as extended XYZ:
```
5
Lattice="5.412 0.000 0.000 0.000 5.412 0.000 0.000 0.000 5.412" Properties=species:S:1:pos:R:3 pbc="T T T"
Na 0.000 0.000 2.706
Na 0.000 2.706 0.000
Na 2.706 0.000 0.000
Cr 0.000 0.000 0.000
S 2.706 2.706 2.706
```

As for the calculated density: 1.60 g/cm3. The value obtained for the volume is 31.71 Å³/atom. As for the energy above the most stable polymorph in this dataset: 0.683 eV/atom. The value obtained for the formation energy (no corrections) is 0.481 eV/atom. For the density of states at the Fermi level, the calculation gives 0.043 states/eV/atom. Its crystal system is cubic.

***

Entry 15:
A crystal of NaCrSb3 relaxed with PBEsol, computed with SCAN.

Cell and atoms, written as extended XYZ:
```
5
Lattice="5.248 0.000 0.000 0.000 5.248 0.000 0.000 0.000 5.248" Properties=species:S:1:pos:R:3 pbc="T T T"
Na 0.000 0.000 0.000
Cr 2.624 2.624 2.624
Sb 0.000 0.000 2.624
Sb 0.000 2.624 0.000
Sb 2.624 0.000 0.000
```

As for the calculated density: 5.06 g/cm3. The value obtained for the volume is 28.91 Å³/atom. The value obtained for the formation energy (no corrections) is 0.971 eV/atom. For the density of states at the Fermi level, the calculation gives 0.635 states/eV/atom. Its crystal system is cubic.

***

Entry 16:
A crystal of NaCrSbTe2 relaxed with PBEsol, computed with SCAN.

Cell and atoms, written as extended XYZ:
```
5
Lattice="5.330 0.000 0.000 0.000 5.330 0.000 0.000 0.000 5.004" Properties=species:S:1:pos:R:3 pbc="T T T"
Na 0.000 0.000 0.000
Cr 2.665 2.665 2.502
Sb 2.665 2.665 0.000
Te 0.000 2.665 2.502
Te 2.665 0.000 2.502
```

As for the calculated density: 5.28 g/cm3. The value obtained for the volume is 28.43 Å³/atom. The value obtained for the formation energy (no corrections) is -0.070 eV/atom. For the density of states at the Fermi level, the calculation gives 0.702 states/eV/atom. Its crystal system is tetragonal.

***

Entry 17:
A crystal of NaSc2Cr2 relaxed with PBEsol, computed with SCAN.

Cell and atoms, written as extended XYZ:
```
5
Lattice="-1.610 1.610 10.461 1.610 -1.610 10.461 1.610 1.610 -10.461" Properties=species:S:1:pos:R:3 pbc="T T T"
Na 0.000 0.000 0.000
Sc 0.000 0.000 7.469
Sc 0.000 0.000 13.453
Cr 1.610 0.000 5.230
Cr 0.000 1.610 5.230
```

As for the calculated density: 3.32 g/cm3. The value obtained for the volume is 21.68 Å³/atom. The calculation puts the energy of formation at 0.52 eV per atom. For the density of states at the Fermi level, the calculation gives 0.888 states/eV/atom. Its crystal system is tetragonal.

***

Entry 18:
A crystal of Na3ScCr relaxed with PBEsol, computed with SCAN.

Cell and atoms, written as extended XYZ:
```
5
Lattice="5.946 0.000 0.000 0.000 5.946 0.000 0.000 0.000 5.946" Properties=species:S:1:pos:R:3 pbc="T T T"
Na 0.000 0.000 2.973
Na 0.000 2.973 0.000
Na 2.973 0.000 0.000
Sc 0.000 0.000 0.000
Cr 2.973 2.973 2.973
```

As for the calculated density: 1.31 g/cm3. The value obtained for the volume is 42.05 Å³/atom. The calculation puts the energy of formation at 1.30 eV per atom. For the density of states at the Fermi level, the calculation gives 1.022 states/eV/atom. Its crystal system is cubic.

***

Entry 19:
A crystal of Na3Cr11Se20 relaxed with PBEsol, computed with SCAN.

Cell and atoms, written as extended XYZ:
```
34
Lattice="12.618 -1.796 0.000 12.618 1.796 0.000 -11.665 0.000 15.334" Properties=species:S:1:pos:R:3 pbc="T T T"
Na 0.000 0.000 0.000
Na 0.853 0.000 10.813
Na 13.111 0.000 3.641
Cr -7.978 0.000 13.372
Cr -2.620 0.000 6.808
Cr 4.133 0.000 4.125
Cr -2.611 0.000 13.088
Cr 4.439 0.000 10.268
Cr 9.678 0.000 3.808
Cr 16.366 0.000 1.220
Cr 9.908 0.000 10.116
Cr 19.448 0.000 0.926
Cr 16.663 0.000 7.433
Cr 19.666 0.000 7.048
Se -6.814 0.000 9.232
Se -1.639 0.000 2.743
Se 2.472 0.000 2.285
Se -4.082 0.000 11.071
Se 5.170 0.000 0.070
Se -1.387 0.000 8.933
Se 2.763 0.000 8.424
Se 8.276 0.000 1.649
Se -1.344 0.000 15.033
Se 5.521 0.000 6.209
Se 3.278 0.000 14.519
Se 8.528 0.000 7.981
Se 5.920 0.000 12.303
Se 11.226 0.000 5.777
Se 8.602 0.000 13.987
Se 15.470 0.000 5.285
Se 18.111 0.000 3.064
Se 11.403 0.000 12.050
Se 15.758 0.000 11.424
Se 20.933 0.000 4.889
```

As for the calculated density: 5.30 g/cm3. The value obtained for the volume is 20.44 Å³/atom. The value obtained for the formation energy (no corrections) is -0.855 eV/atom. For the density of states at the Fermi level, the calculation gives 0.273 states/eV/atom. Its crystal system is monoclinic.

***

Entry 20:
A crystal of Na3CrSi relaxed with PBEsol, computed with SCAN.

Cell and atoms, written as extended XYZ:
```
5
Lattice="5.489 0.000 0.000 0.000 5.489 0.000 0.000 0.000 5.489" Properties=species:S:1:pos:R:3 pbc="T T T"
Na 0.000 0.000 2.744
Na 0.000 2.744 0.000
Na 2.744 0.000 0.000
Cr 2.744 2.744 2.744
Si 0.000 0.000 0.000
```

As for the calculated density: 1.50 g/cm3. The value obtained for the volume is 33.07 Å³/atom. As for the energy above the most stable polymorph in this dataset: 0.000 eV/atom. The value obtained for the formation energy (no corrections) is 0.702 eV/atom. For the density of states at the Fermi level, the calculation gives 0.429 states/eV/atom. Its crystal system is cubic.